a:
Density functional theory data (GGA-PBE) for a relaxed CdSi2 crystal.

Crystal system: monoclinic

Cell lengths 7.028, 7.028, 7.291 Å; angles 61.58, 61.58, 23.32 degrees
Positions (direct):
Cd 0.989 0.989 0.126
Cd 0.289 0.289 0.152
Si 0.654 0.654 0.786
Si 0.623 0.623 0.492
Si 0.970 0.970 0.505
Si 0.308 0.308 0.773

b:
Density functional theory data (GGA-PBE) for a relaxed CdSi2 crystal.

Crystal system: tetragonal

Cell lengths 3.486, 3.486, 4.863 Å; angles 90.00, 90.00, 90.00 degrees
Positions (direct):
Cd 0.000 0.000 0.000
Si 0.000 0.500 0.500
Si 0.500 0.000 0.500

In terms of stability, a leads; the second structure lies 0.039 eV/atom higher.

a:
Density functional theory data (GGA-PBE) for a relaxed Cd3Si4 crystal.

Crystal system: cubic

Cell lengths 5.456, 5.456, 5.456 Å; angles 90.00, 90.00, 90.00 degrees
Positions (direct):
Cd 0.000 0.500 0.000
Cd 0.000 0.000 0.500
Cd 0.500 0.000 0.000
Si 0.000 0.000 0.000
Si 0.000 0.500 0.500
Si 0.500 0.000 0.500
Si 0.500 0.500 0.000

b:
Density functional theory data (GGA-PBE) for a relaxed Cd3Si4 crystal.

Crystal system: hexagonal

Cell lengths 5.817, 5.817, 4.889 Å; angles 90.00, 90.00, 120.00 degrees
Positions (direct):
Cd 0.000 0.500 0.000
Cd 0.500 0.500 0.000
Cd 0.500 0.000 0.000
Si 0.000 0.000 0.250
Si 0.000 0.000 0.750
Si 0.667 0.333 0.500
Si 0.333 0.667 0.500

In terms of stability, b leads; the second structure lies 0.190 eV/atom higher.

a:
Density functional theory data (GGA-PBE) for a relaxed Cd3Si4 crystal.

Crystal system: cubic

Cell lengths 5.423, 5.423, 5.423 Å; angles 90.00, 90.00, 90.00 degrees
Positions (direct):
Cd 0.500 0.000 0.500
Cd 0.500 0.500 0.000
Cd 0.000 0.500 0.500
Si 0.161 0.839 0.161
Si 0.839 0.161 0.161
Si 0.839 0.839 0.839
Si 0.161 0.161 0.839

b:
Density functional theory data (GGA-PBE) for a relaxed Cd3Si4 crystal.

Crystal system: tetragonal

Cell lengths 12.234, 12.234, 12.234 Å; angles 164.05, 164.05, 22.63 degrees
Positions (direct):
Cd 0.000 0.000 0.000
Cd 0.710 0.710 0.000
Cd 0.290 0.290 0.000
Si 0.881 0.881 0.000
Si 0.119 0.119 0.000
Si 0.589 0.589 0.000
Si 0.411 0.411 0.000

In terms of stability, b leads; the second structure lies 0.084 eV/atom higher.

a:
Density functional theory data (GGA-PBE) for a relaxed Cd5Si4 crystal.

Crystal system: hexagonal

Cell lengths 9.094, 9.094, 5.315 Å; angles 90.00, 90.00, 120.00 degrees
Positions (direct):
Si 0.000 0.000 0.000
Si 0.000 0.000 0.500
Si 0.000 0.428 0.250
Si 0.572 0.572 0.250
Si 0.428 0.000 0.250
Si 0.000 0.572 0.750
Si 0.428 0.428 0.750
Si 0.572 0.000 0.750
Cd 0.000 0.727 0.250
Cd 0.273 0.273 0.250
Cd 0.727 0.000 0.250
Cd 0.000 0.273 0.750
Cd 0.727 0.727 0.750
Cd 0.273 0.000 0.750
Cd 0.667 0.333 0.000
Cd 0.333 0.667 0.500
Cd 0.333 0.667 0.000
Cd 0.667 0.333 0.500

b:
Density functional theory data (GGA-PBE) for a relaxed Cd5Si4 crystal.

Crystal system: tetragonal

Cell lengths 7.884, 7.884, 7.884 Å; angles 92.40, 92.40, 156.40 degrees
Positions (direct):
Cd 0.000 0.000 0.000
Cd 0.332 0.668 0.000
Cd 0.668 0.332 0.000
Cd 0.668 0.668 0.336
Cd 0.332 0.332 0.664
Si 0.374 0.000 0.374
Si 0.626 0.000 0.626
Si 0.000 0.626 0.626
Si 0.000 0.374 0.374

In terms of stability, b leads; the second structure lies 0.107 eV/atom higher.

a:
Density functional theory data (GGA-PBE) for a relaxed Cd4Si5 crystal.

Crystal system: tetragonal

Cell lengths 6.612, 6.612, 6.612 Å; angles 96.76, 96.76, 139.86 degrees
Positions (direct):
Cd 0.327 0.000 0.327
Cd 0.673 0.000 0.673
Cd 0.000 0.673 0.673
Cd 0.000 0.327 0.327
Si 0.000 0.000 0.000
Si 0.356 0.644 0.000
Si 0.644 0.356 0.000
Si 0.644 0.644 0.287
Si 0.356 0.356 0.713

b:
Density functional theory data (GGA-PBE) for a relaxed Cd4Si5 crystal.

Crystal system: hexagonal

Cell lengths 8.773, 8.773, 5.349 Å; angles 90.00, 90.00, 120.00 degrees
Positions (direct):
Si 0.000 0.593 0.250
Si 0.407 0.407 0.250
Si 0.593 0.000 0.250
Si 0.000 0.407 0.750
Si 0.593 0.593 0.750
Si 0.407 0.000 0.750
Si 0.667 0.333 0.000
Si 0.333 0.667 0.500
Si 0.333 0.667 0.000
Si 0.667 0.333 0.500
Cd 0.000 0.000 0.000
Cd 0.000 0.000 0.500
Cd 0.000 0.293 0.250
Cd 0.707 0.707 0.250
Cd 0.293 0.000 0.250
Cd 0.000 0.707 0.750
Cd 0.293 0.293 0.750
Cd 0.707 0.000 0.750

In terms of stability, a leads; the second structure lies 0.074 eV/atom higher.

a:
Density functional theory data (GGA-PBE) for a relaxed Cd5Si crystal.

Crystal system: hexagonal

Cell lengths 5.639, 5.639, 5.230 Å; angles 90.00, 90.00, 120.00 degrees
Positions (direct):
Cd 0.333 0.667 0.000
Cd 0.667 0.333 0.000
Cd 0.500 0.000 0.500
Cd 0.000 0.500 0.500
Cd 0.500 0.500 0.500
Si 0.000 0.000 0.000

b:
Density functional theory data (GGA-PBE) for a relaxed Cd5Si crystal.

Crystal system: cubic

Cell lengths 5.786, 5.786, 5.786 Å; angles 60.00, 60.00, 60.00 degrees
Positions (direct):
Cd 0.250 0.250 0.250
Cd 0.625 0.625 0.625
Cd 0.625 0.625 0.125
Cd 0.125 0.625 0.625
Cd 0.625 0.125 0.625
Si 0.000 0.000 0.000

c:
Density functional theory data (GGA-PBE) for a relaxed Cd5Si crystal.

Crystal system: hexagonal

Cell lengths 5.618, 5.618, 4.878 Å; angles 90.00, 90.00, 120.00 degrees
Positions (direct):
Cd 0.676 0.000 0.000
Cd 0.324 0.324 0.000
Cd 0.000 0.676 0.000
Cd 0.667 0.333 0.500
Cd 0.333 0.667 0.500
Si 0.000 0.000 0.500

In terms of stability, c leads; the second structure lies 0.139 eV/atom higher.